1.
This record from the Alexandria database describes a relaxed structure of CsLaHgO3. The functional is PBE.

```
CsLaHgO3
1.0
8.4599 0.0000 0.0000
0.0000 3.7873 0.0000
-1.2880 0.0000 9.1851
Cs La Hg O
2 2 2 6
direct
0.1592 0.2500 0.2078
0.8408 0.7500 0.7922
0.3696 0.7500 0.8643
0.6304 0.2500 0.1357
0.1409 0.2500 0.5950
0.8591 0.7500 0.4050
0.1591 0.7500 0.4692
0.1901 0.2500 0.8416
0.4425 0.7500 0.1083
0.5575 0.2500 0.8917
0.8099 0.7500 0.1584
0.8409 0.2500 0.5308
```

Computed properties:
Theoretical density ... 5.873 g/cm3
E ... -63.11 eV per cell
V ... 24.52 Å³/atom
Formation energy from raw total energies ... -10.598 eV/f.u.

2.
This record from the Alexandria database describes a relaxed structure of CsLaHg2Rh. The functional is PBE.

```
CsLaHg2Rh
1.0
5.6233 0.0000 0.0000
0.0000 5.6233 0.0000
0.0000 0.0000 5.1351
Cs La Hg Rh
1 1 2 1
direct
0.0000 0.0000 0.0000
0.5000 0.5000 0.0000
0.0000 0.5000 0.5000
0.5000 0.0000 0.5000
0.5000 0.5000 0.5000
```

Computed properties:
Theoretical density ... 7.934 g/cm3
E ... -15.30 eV per cell
Formation energy ... -30.2 kJ per mole of atoms
V ... 32.48 Å³/atom

3.
This record from the Alexandria database describes a relaxed structure of CsLa2HgS4. The functional is PBE.

```
CsLa2HgS4
1.0
2.2013 -7.2850 0.0000
2.2013 7.2850 0.0000
0.0000 0.0000 14.8705
Cs La Hg S
2 4 2 8
direct
0.1180 0.8820 0.7500
0.8820 0.1180 0.2500
0.3725 0.6275 0.5574
0.3725 0.6275 0.9426
0.6275 0.3725 0.0574
0.6275 0.3725 0.4426
0.1578 0.8422 0.2500
0.8422 0.1578 0.7500
0.0000 0.0000 0.0000
0.0000 0.0000 0.5000
0.2574 0.7426 0.0990
0.2574 0.7426 0.4010
0.4360 0.5640 0.7500
0.5640 0.4360 0.2500
0.7426 0.2574 0.5990
0.7426 0.2574 0.9010
```

Computed properties:
Theoretical density ... 5.150 g/cm3
E ... -78.90 eV per cell
V ... 29.81 Å³/atom
Formation energy from raw total energies ... -11.929 eV/f.u.

What did the first record say?
This record from the Alexandria database describes a relaxed structure of CsLaHgO3. The functional is PBE.

```
CsLaHgO3
1.0
8.4599 0.0000 0.0000
0.0000 3.7873 0.0000
-1.2880 0.0000 9.1851
Cs La Hg O
2 2 2 6
direct
0.1592 0.2500 0.2078
0.8408 0.7500 0.7922
0.3696 0.7500 0.8643
0.6304 0.2500 0.1357
0.1409 0.2500 0.5950
0.8591 0.7500 0.4050
0.1591 0.7500 0.4692
0.1901 0.2500 0.8416
0.4425 0.7500 0.1083
0.5575 0.2500 0.8917
0.8099 0.7500 0.1584
0.8409 0.2500 0.5308
```

Computed properties:
Theoretical density ... 5.873 g/cm3
E ... -63.11 eV per cell
V ... 24.52 Å³/atom
Formation energy from raw total energies ... -10.598 eV/f.u.

Please write out number 3 again, unchanged.
This record from the Alexandria database describes a relaxed structure of CsLa2HgS4. The functional is PBE.

```
CsLa2HgS4
1.0
2.2013 -7.2850 0.0000
2.2013 7.2850 0.0000
0.0000 0.0000 14.8705
Cs La Hg S
2 4 2 8
direct
0.1180 0.8820 0.7500
0.8820 0.1180 0.2500
0.3725 0.6275 0.5574
0.3725 0.6275 0.9426
0.6275 0.3725 0.0574
0.6275 0.3725 0.4426
0.1578 0.8422 0.2500
0.8422 0.1578 0.7500
0.0000 0.0000 0.0000
0.0000 0.0000 0.5000
0.2574 0.7426 0.0990
0.2574 0.7426 0.4010
0.4360 0.5640 0.7500
0.5640 0.4360 0.2500
0.7426 0.2574 0.5990
0.7426 0.2574 0.9010
```

Computed properties:
Theoretical density ... 5.150 g/cm3
E ... -78.90 eV per cell
V ... 29.81 Å³/atom
Formation energy from raw total energies ... -11.929 eV/f.u.

What is the formula in the third record?
CsLa2HgS4

Repeat the third record exactly.
This record from the Alexandria database describes a relaxed structure of CsLa2HgS4. The functional is PBE.

```
CsLa2HgS4
1.0
2.2013 -7.2850 0.0000
2.2013 7.2850 0.0000
0.0000 0.0000 14.8705
Cs La Hg S
2 4 2 8
direct
0.1180 0.8820 0.7500
0.8820 0.1180 0.2500
0.3725 0.6275 0.5574
0.3725 0.6275 0.9426
0.6275 0.3725 0.0574
0.6275 0.3725 0.4426
0.1578 0.8422 0.2500
0.8422 0.1578 0.7500
0.0000 0.0000 0.0000
0.0000 0.0000 0.5000
0.2574 0.7426 0.0990
0.2574 0.7426 0.4010
0.4360 0.5640 0.7500
0.5640 0.4360 0.2500
0.7426 0.2574 0.5990
0.7426 0.2574 0.9010
```

Computed properties:
Theoretical density ... 5.150 g/cm3
E ... -78.90 eV per cell
V ... 29.81 Å³/atom
Formation energy from raw total energies ... -11.929 eV/f.u.